Record 1
A geometry-optimized Ga2RuF structure. Source: Alexandria, functional GGA-PBE.

The structure in POSCAR format:
```
Ga2RuF
1.0
0.000 3.074 3.074
3.074 0.000 3.074
3.074 3.074 0.000
Ga Ru F
2 1 1
Direct
0.250 0.250 0.250
0.750 0.750 0.750
0.000 0.000 0.000
0.500 0.500 0.500
```

Summary:
- Uncorrected energy: -4.568 eV per atom
- Calculated volume: 14.52 A^3/atom
- Energy relative to the lowest polymorph listed for this composition: 227 meV/atom
- Total moment: 0.1 μB per cell
- Formation energy without anion corrections: -1.072 eV/f.u.



Record 2
A geometry-optimized SmY2In2Ag2 structure. Source: Alexandria, functional GGA-PBE.

The structure in POSCAR format:
```
SmY2In2Ag2
1.0
2.431 1.403 9.031
-2.431 1.403 9.031
0.000 -2.807 9.031
Sm Y In Ag
1 2 2 2
Direct
0.000 0.000 0.000
0.126 0.126 0.126
0.874 0.874 0.874
0.259 0.259 0.259
0.741 0.741 0.741
0.401 0.401 0.401
0.599 0.599 0.599
```

Summary:
- Uncorrected energy: -4.418 eV per atom
- Formation energy from the elements: -0.300 eV per atom
- Calculated volume: 26.40 A^3/atom
- Total moment: 0.0 μB per cell



Record 3
A geometry-optimized PrU2RuC4 structure. Source: Alexandria, functional GGA-PBE.

The structure in POSCAR format:
```
PrU2RuC4
1.0
1.791 -5.840 0.000
1.791 5.840 0.000
0.000 0.000 11.801
Pr U Ru C
2 4 2 8
Direct
0.103 0.897 0.750
0.897 0.103 0.250
0.370 0.630 0.548
0.370 0.630 0.952
0.630 0.370 0.048
0.630 0.370 0.452
0.160 0.840 0.250
0.840 0.160 0.750
0.000 0.000 0.000
0.000 0.000 0.500
0.255 0.745 0.110
0.255 0.745 0.390
0.432 0.568 0.750
0.568 0.432 0.250
0.745 0.255 0.610
0.745 0.255 0.890
```

Summary:
- Uncorrected energy: -9.230 eV per atom
- Formation energy from the elements: -0.039 eV per atom
- Calculated volume: 15.43 A^3/atom
- Total moment: 0.0 μB per cell



Record 4
A geometry-optimized CaMgIn2Au4 structure. Source: Alexandria, functional GGA-PBE.

The structure in POSCAR format:
```
CaMgIn2Au4
1.0
2.404 1.388 8.318
-2.404 1.388 8.318
0.000 -2.776 8.318
Ca Mg In Au
1 1 2 4
Direct
0.000 0.000 0.000
0.500 0.500 0.500
0.250 0.250 0.250
0.750 0.750 0.750
0.132 0.132 0.132
0.388 0.388 0.388
0.612 0.612 0.612
0.868 0.868 0.868
```

Summary:
- Uncorrected energy: -3.274 eV per atom
- Formation energy from the elements: -0.501 eV per atom
- Calculated volume: 20.82 A^3/atom
- Total moment: 0.0 μB per cell



Record 5
A geometry-optimized CeDy2TmS6 structure. Source: Alexandria, functional GGA-PBE.

The structure in POSCAR format:
```
CeDy2TmS6
1.0
3.482 2.010 6.183
-3.482 2.010 6.183
0.000 -4.020 6.183
Ce Dy Tm S
1 2 1 6
Direct
0.000 0.000 0.000
0.203 0.203 0.203
0.708 0.708 0.708
0.506 0.506 0.506
0.109 0.411 0.799
0.322 0.907 0.588
0.411 0.799 0.109
0.588 0.322 0.907
0.799 0.109 0.411
0.907 0.588 0.322
```

Summary:
- Uncorrected energy: -6.458 eV per atom
- Calculated volume: 25.96 A^3/atom
- Total moment: 1.0 μB per cell
- Formation energy without anion corrections: -20.203 eV/f.u.



Record 6
A geometry-optimized LuCdInIr structure. Source: Alexandria, functional GGA-PBE.

The structure in POSCAR format:
```
LuCdInIr
1.0
0.000 3.420 3.420
3.420 0.000 3.420
3.420 3.420 0.000
Lu Cd In Ir
1 1 1 1
Direct
0.000 0.000 0.000
0.750 0.750 0.750
0.500 0.500 0.500
0.250 0.250 0.250
```

Summary:
- Uncorrected energy: -4.598 eV per atom
- Formation energy from the elements: -0.339 eV per atom
- Calculated volume: 20.00 A^3/atom
- Total moment: 0.0 μB per cell



Record 7
A geometry-optimized Th2CuHg3 structure. Source: Alexandria, functional GGA-PBE.

The structure in POSCAR format:
```
Th2CuHg3
1.0
3.409 0.000 0.000
0.000 4.943 0.000
0.000 0.000 8.600
Th Cu Hg
2 1 3
Direct
0.000 0.000 0.000
0.000 0.500 0.475
0.500 0.000 0.317
0.500 0.000 0.638
0.500 0.500 0.162
0.500 0.500 0.819
```

Summary:
- Uncorrected energy: -3.535 eV per atom
- Formation energy from the elements: -0.228 eV per atom
- Calculated volume: 24.15 A^3/atom
- Total moment: 0.0 μB per cell



Record 8
A geometry-optimized NdUPd6 structure. Source: Alexandria, functional GGA-PBE.

The structure in POSCAR format:
```
NdUPd6
1.0
4.169 0.000 0.000
0.000 4.169 0.000
0.000 0.000 8.338
Nd U Pd
1 1 6
Direct
0.000 0.000 0.000
0.000 0.000 0.500
0.000 0.500 0.259
0.000 0.500 0.741
0.500 0.000 0.259
0.500 0.000 0.741
0.500 0.500 0.000
0.500 0.500 0.500
```

Summary:
- Uncorrected energy: -6.578 eV per atom
- Formation energy from the elements: -0.676 eV per atom
- Calculated volume: 18.12 A^3/atom
- Total moment: 2.0 μB per cell



Record 9
A geometry-optimized Tm7Ru2Se2 structure. Source: Alexandria, functional GGA-PBE.

The structure in POSCAR format:
```
Tm7Ru2Se2
1.0
-1.926 7.523 4.533
1.926 -7.523 4.533
1.926 7.523 -4.533
Tm Ru Se
7 2 2
Direct
0.000 0.000 0.000
0.055 0.372 0.683
0.099 0.742 0.357
0.385 0.742 0.643
0.457 0.583 0.874
0.689 0.372 0.317
0.709 0.583 0.126
0.307 0.068 0.239
0.830 0.068 0.761
0.337 0.337 0.000
0.740 0.240 0.500
```

Summary:
- Uncorrected energy: -6.034 eV per atom
- Calculated volume: 23.88 A^3/atom
- Total moment: 0.0 μB per cell
- Formation energy without anion corrections: -9.549 eV/f.u.



Record 10
A geometry-optimized PmRhPb2O6 structure. Source: Alexandria, functional GGA-PBE.

The structure in POSCAR format:
```
PmRhPb2O6
1.0
5.858 0.000 0.000
0.000 5.938 0.000
-5.835 0.000 8.337
Pm Rh Pb O
2 2 4 12
Direct
0.000 0.000 0.000
0.000 0.500 0.500
0.500 0.000 0.500
0.500 0.500 0.000
0.245 0.041 0.754
0.245 0.459 0.254
0.755 0.541 0.746
0.755 0.959 0.246
0.169 0.183 0.445
0.169 0.317 0.945
0.280 0.715 0.452
0.280 0.785 0.952
0.375 0.033 0.271
0.375 0.467 0.771
0.625 0.533 0.229
0.625 0.967 0.729
0.720 0.215 0.048
0.720 0.285 0.548
0.831 0.683 0.055
0.831 0.817 0.555
```

Summary:
- Uncorrected energy: -6.410 eV per atom
- Calculated volume: 14.50 A^3/atom
- Total moment: 0.0 μB per cell
- Formation energy without anion corrections: -14.831 eV/f.u.



Record 11
A geometry-optimized Na3Np2AuSe6 structure. Source: Alexandria, functional GGA-PBE.

The structure in POSCAR format:
```
Na3Np2AuSe6
1.0
3.554 -6.120 0.000
3.554 6.120 0.000
-2.367 0.000 7.017
Na Np Au Se
3 2 1 6
Direct
0.000 0.000 0.000
0.339 0.661 0.000
0.661 0.339 0.000
0.167 0.833 0.500
0.833 0.167 0.500
0.500 0.500 0.500
0.080 0.423 0.270
0.232 0.232 0.730
0.423 0.080 0.270
0.577 0.920 0.730
0.768 0.768 0.270
0.920 0.577 0.730
```

Summary:
- Uncorrected energy: -5.469 eV per atom
- Calculated volume: 25.44 A^3/atom
- Total moment: 6.0 μB per cell
- Formation energy without anion corrections: -11.605 eV/f.u.



Record 12
A geometry-optimized ThCd23Hg6 structure. Source: Alexandria, functional GGA-PBE.

The structure in POSCAR format:
```
ThCd23Hg6
1.0
0.000 7.120 7.120
7.120 0.000 7.120
7.120 7.120 0.000
Th Cd Hg
1 23 6
Direct
0.000 0.000 0.000
0.000 0.000 0.500
0.000 0.500 0.000
0.000 0.500 0.500
0.126 0.625 0.625
0.148 0.148 0.148
0.148 0.148 0.556
0.148 0.556 0.148
0.375 0.375 0.375
0.375 0.375 0.874
0.375 0.874 0.375
0.444 0.852 0.852
0.500 0.000 0.000
0.500 0.000 0.500
0.500 0.500 0.000
0.500 0.500 0.500
0.556 0.148 0.148
0.625 0.126 0.625
0.625 0.625 0.126
0.625 0.625 0.625
0.852 0.444 0.852
0.852 0.852 0.444
0.852 0.852 0.852
0.874 0.375 0.375
0.229 0.229 0.771
0.229 0.771 0.229
0.229 0.771 0.771
0.771 0.229 0.229
0.771 0.229 0.771
0.771 0.771 0.229
```

Summary:
- Uncorrected energy: -0.974 eV per atom
- Formation energy from the elements: 0.035 eV per atom
- Calculated volume: 24.06 A^3/atom
- Total moment: 0.0 μB per cell



Record 13
A geometry-optimized MgNiTe structure. Source: Alexandria, functional GGA-PBE.

The structure in POSCAR format:
```
MgNiTe
1.0
4.815 0.000 0.000
-2.407 4.170 0.000
0.000 0.000 9.374
Mg Ni Te
2 2 2
Direct
0.333 0.667 0.250
0.667 0.333 0.750
0.000 0.000 0.000
0.000 0.000 0.500
0.000 0.000 0.250
0.000 0.000 0.750
```

Summary:
- Uncorrected energy: -3.318 eV per atom
- Calculated volume: 31.37 A^3/atom
- Total moment: 0.0 μB per cell
- Formation energy without anion corrections: 0.565 eV/f.u.



Record 14
A geometry-optimized Zn2InCo structure. Source: Alexandria, functional GGA-PBE.

The structure in POSCAR format:
```
Zn2InCo
1.0
-1.929 1.929 9.205
1.929 -1.929 9.205
1.929 1.929 -9.205
Zn In Co
4 2 2
Direct
0.080 0.625 0.955
0.375 0.330 0.455
0.670 0.125 0.045
0.875 0.920 0.545
0.250 0.750 0.500
0.500 0.500 0.000
0.000 0.000 0.000
0.750 0.250 0.500
```

Summary:
- Uncorrected energy: -2.799 eV per atom
- Formation energy from the elements: 0.299 eV per atom
- Calculated volume: 17.12 A^3/atom
- Total moment: 1.5 μB per cell



Record 15
A geometry-optimized Pm2DyEr structure. Source: Alexandria, functional GGA-PBE.

The structure in POSCAR format:
```
Pm2DyEr
1.0
0.000 4.038 4.038
4.038 0.000 4.038
4.038 4.038 0.000
Pm Dy Er
2 1 1
Direct
0.250 0.250 0.250
0.750 0.750 0.750
0.000 0.000 0.000
0.500 0.500 0.500
```

Summary:
- Uncorrected energy: -4.547 eV per atom
- Formation energy from the elements: 0.119 eV per atom
- Calculated volume: 32.93 A^3/atom
- Energy relative to the lowest polymorph listed for this composition: 105 meV/atom
- Total moment: 0.0 μB per cell



Record 16
A geometry-optimized TaCuSi structure. Source: Alexandria, functional GGA-PBE.

The structure in POSCAR format:
```
TaCuSi
1.0
0.000 2.990 2.990
2.990 0.000 2.990
2.990 2.990 0.000
Ta Cu Si
1 1 1
Direct
0.000 0.000 0.000
0.250 0.250 0.250
0.750 0.750 0.750
```

Summary:
- Uncorrected energy: -6.702 eV per atom
- Calculated volume: 17.81 A^3/atom
- Total moment: 0.0 μB per cell
- Formation energy without anion corrections: 1.266 eV/f.u.



Record 17
A geometry-optimized LaZr2Cl structure. Source: Alexandria, functional GGA-PBE.

The structure in POSCAR format:
```
LaZr2Cl
1.0
0.000 3.668 3.668
3.668 0.000 3.668
3.668 3.668 0.000
La Zr Cl
1 2 1
Direct
0.000 0.000 0.000
0.250 0.250 0.250
0.500 0.500 0.500
0.750 0.750 0.750
```

Summary:
- Uncorrected energy: -5.772 eV per atom
- Calculated volume: 24.67 A^3/atom
- Energy relative to the lowest polymorph listed for this composition: 582 meV/atom
- Total moment: 0.0 μB per cell
- Formation energy without anion corrections: 0.781 eV/f.u.



Record 18
A geometry-optimized Li2MgBi structure. Source: Alexandria, functional GGA-PBE.

The structure in POSCAR format:
```
Li2MgBi
1.0
0.000 3.562 3.562
3.562 0.000 3.562
3.562 3.562 0.000
Li Mg Bi
2 1 1
Direct
0.000 0.000 0.000
0.250 0.250 0.250
0.500 0.500 0.500
0.750 0.750 0.750
```

Summary:
- Uncorrected energy: -2.600 eV per atom
- Formation energy from the elements: -0.274 eV per atom
- Calculated volume: 22.60 A^3/atom
- Energy relative to the lowest polymorph listed for this composition: 61 meV/atom
- Total moment: 0.0 μB per cell